{"formula": "CsSO3F", "functional": "meta-GGA SCAN", "state": "single point on PBEsol structure", "m_tot_mub_per_atom": 0.00, "raw_formation_energy_ev_per_atom": -2.058, "e_tot_ev_per_cell": -328.08, "lattice": [[7.873, 0.000, 0.000], [0.000, 7.840, 0.000], [-3.752, 0.000, 7.164]], "species": ["Cs", "Cs", "Cs", "Cs", "S", "S", "S", "S", "O", "O", "O", "O", "O", "O", "O", "O", "O", "O", "O", "O", "F", "F", "F", "F"], "fractional_positions": [[0.236, 0.110, 0.239], [0.236, 0.390, 0.739], [0.764, 0.610, 0.261], [0.764, 0.890, 0.761], [0.236, 0.592, 0.229], [0.236, 0.908, 0.729], [0.764, 0.092, 0.271], [0.764, 0.408, 0.771], [0.096, 0.717, 0.115], [0.096, 0.783, 0.615], [0.182, 0.012, 0.846], [0.182, 0.488, 0.346], [0.333, 0.001, 0.641], [0.333, 0.499, 0.141], [0.667, 0.501, 0.859], [0.667, 0.999, 0.359], [0.818, 0.512, 0.654], [0.818, 0.988, 0.154], [0.904, 0.217, 0.385], [0.904, 0.283, 0.885], [0.409, 0.710, 0.381], [0.409, 0.790, 0.881], [0.591, 0.210, 0.119], [0.591, 0.290, 0.619]]}